Computed, not measured: a relaxed BaPaAl2O8 crystal at the PBE-GGA level of DFT.

Output
As for the symmetry: No. 164. As for the volume: 18.3 A^3/atom. The density of states at the Fermi level is 6.741 states/eV/cell. The formation energy without anion corrections is -2.462 eV/atom. The value obtained for the total energy is -7.343 eV/atom.

Cell lengths 5.787, 5.787, 7.557 Å; angles 90.00, 90.00, 120.00 degrees
Positions (direct):
Ba1 0.000 0.000 0.000
Pa1 0.000 0.000 0.500
Al1 0.667 0.333 0.254
Al2 0.333 0.667 0.746
O1 0.333 0.667 0.983
O2 0.330 0.165 0.316
O3 0.835 0.164 0.316
O4 0.667 0.333 0.017
O5 0.165 0.836 0.684
O6 0.670 0.835 0.684
O7 0.164 0.330 0.684
O8 0.836 0.670 0.316